No. 1
Below is Pt2Se after structural relaxation, with properties calculated at the PBE level.

The space group is P6_3/mmc (No. 194) and the conventional cell measures 4.5348, 4.5348 and 5.6409 Å, with angles of 90.00, 90.00 and 120.00 degrees. Symmetry generates all atoms from Pt at (0.0000, 0.0000, 0.0000), Pt at (0.3333, 0.6667, 0.2500) and Se at (0.3333, 0.6667, 0.7500).

The value obtained for the energy above the most stable polymorph in this dataset is 0.340 eV/atom. As for the formation energy without anion corrections: 261 meV per atom. Its calculated volume is 100 Å³/cell.

---

No. 2
Below is SrMnTc2 after structural relaxation, with properties calculated at the PBE level.

The space group is I4_1/amd (No. 141, origin choice 2) and the conventional cell measures 4.8787, 4.8787 and 15.9618 Å, with angles of 90.00, 90.00 and 90.00 degrees. Symmetry generates all atoms from Sr at (0.0000, 0.2500, 0.3750), Mn at (0.0000, 0.2500, 0.8750) and Tc at (0.0000, 0.0000, 0.0000).

As for the formation energy from the elements: 1.01 eV per atom. The value obtained for the energy above the most stable polymorph in this dataset is 0.581 eV/atom. Its calculated volume is 380 Å³/cell.

---

no.,Fermi-level density of states (states/eV/cell),magnetization (Bohr magnetons per cell)
1,7.2,0.0
2,23.5,0.0